This record from Alexandria via LeMat-Bulk describes a geometry-optimized TbGaNiRu structure. The functional is PBE. Values from VASP.

Values from the calculation:
* calculated formation energy: -32.4 kJ per mole of atoms
* space group: F-43m (216)

```
&SYSTEM
  ibrav = 0, nat = 4, ntyp = 4
/
ATOMIC_SPECIES
Tb 158.93 Tb.upf
Ga 69.72 Ga.upf
Ni 58.69 Ni.upf
Ru 101.07 Ru.upf
CELL_PARAMETERS angstrom
0.000 3.195 3.195
3.195 0.000 3.195
3.195 3.195 0.000
ATOMIC_POSITIONS crystal
Tb 0.000 0.000 0.000
Ga 0.500 0.500 0.500
Ni 0.250 0.250 0.250
Ru 0.750 0.750 0.750
```



This record from Alexandria via LeMat-Bulk describes a geometry-optimized Tb2Ga3Ni4Ru structure. The functional is PBE. Values from VASP.

Values from the calculation:
* calculated formation energy: -46.3 kJ per mole of atoms
* space group: P-4m2 (115)

```
&SYSTEM
  ibrav = 0, nat = 10, ntyp = 4
/
ATOMIC_SPECIES
Tb 158.93 Tb.upf
Ga 69.72 Ga.upf
Ni 58.69 Ni.upf
Ru 101.07 Ru.upf
CELL_PARAMETERS angstrom
3.904 0.000 0.000
0.000 3.904 0.000
0.000 0.000 10.630
ATOMIC_POSITIONS crystal
Tb 0.000 0.500 0.242
Tb 0.500 0.000 0.758
Ga 0.000 0.000 0.000
Ga 0.000 0.500 0.631
Ga 0.500 0.000 0.369
Ni 0.000 0.000 0.500
Ni 0.000 0.500 0.856
Ni 0.500 0.000 0.144
Ni 0.500 0.500 0.500
Ru 0.500 0.500 0.000
```



This record from Alexandria via LeMat-Bulk describes a geometry-optimized Tb2Ga4Ni3Ru structure. The functional is PBE. Values from VASP.

Values from the calculation:
* calculated formation energy: -54.0 kJ per mole of atoms
* space group: P-4m2 (115)

```
&SYSTEM
  ibrav = 0, nat = 10, ntyp = 4
/
ATOMIC_SPECIES
Tb 158.93 Tb.upf
Ga 69.72 Ga.upf
Ni 58.69 Ni.upf
Ru 101.07 Ru.upf
CELL_PARAMETERS angstrom
4.155 0.000 0.000
0.000 4.155 0.000
0.000 0.000 9.780
ATOMIC_POSITIONS crystal
Tb 0.000 0.500 0.243
Tb 0.500 0.000 0.757
Ga 0.000 0.000 0.500
Ga 0.000 0.500 0.867
Ga 0.500 0.000 0.133
Ga 0.500 0.500 0.500
Ni 0.000 0.000 0.000
Ni 0.000 0.500 0.627
Ni 0.500 0.000 0.373
Ru 0.500 0.500 0.000
```



This record from Alexandria via LeMat-Bulk describes a geometry-optimized Ga2NiTeRu structure. The functional is PBE. Values from VASP.

Values from the calculation:
* space group: P4/mmm (123)

```
&SYSTEM
  ibrav = 0, nat = 5, ntyp = 4
/
ATOMIC_SPECIES
Ga 69.72 Ga.upf
Ni 58.69 Ni.upf
Te 127.60 Te.upf
Ru 101.07 Ru.upf
CELL_PARAMETERS angstrom
5.314 0.000 0.000
0.000 5.314 0.000
0.000 0.000 4.483
ATOMIC_POSITIONS crystal
Ga 0.000 0.500 0.000
Ga 0.500 0.000 0.000
Ni 0.000 0.000 0.500
Te 0.000 0.000 0.000
Ru 0.500 0.500 0.500
```



| no. | DOS at the Fermi energy (states/eV/cell) | final energy (eV per atom) |
| --- | --- | --- |
| 1 | 1.41 | -6.014 |
| 2 | 7.63 | -5.554 |
| 3 | 5.92 | -5.358 |
| 4 | 5.08 | -3.484 |